This record from the Alexandria database describes a relaxed Ca2SiO4F crystal. The functional is PBE.

Cell lengths 5.9860, 10.6833, 6.6754 Å; angles 90.00, 99.35, 90.00 degrees
Closest atoms and distances in Å follow each position.
Space group P2_1/c (No. 14)
One atom of each set of equivalent atoms:
Ca  0.1906  0.1893  0.1651 x4  5 O 2.34-2.51, 2 F 2.36-2.50
Ca  0.2646  0.5837  0.0655 x4  2 F 2.28-2.33, 3 O 2.37-2.47
Si  0.3345  0.6285  0.6164 x4  4 O 1.62-1.68
O  0.1434  0.7116  0.7201 x4  1 Si 1.68
O  0.1763  0.5846  0.3996 x4  1 Si 1.66
O  0.3980  0.5052  0.7577 x4  1 Si 1.63
O  0.4595  0.2211  0.9172 x4  1 Si 1.62
F  0.1250  0.1137  0.5047 x4  4 Ca 2.28-2.50

Values from the calculation:
As for the uncorrected energy: -217.09 eV for the cell shown. For the total magnetic moment, the calculation gives 4.01 μB/cell. For the uncorrected formation energy, the calculation gives -2.893 eV per atom. The value obtained for the volume is 421.23 Å³/cell.